Hg2BiTe2 | the Alexandria database | GGA-PBE | relaxed; M_tot = 0.000 μB/atom; ΔE_f (raw) = 0.085 eV per atom
1.0
4.1763 0.0000 0.0000
0.0000 4.1763 0.0000
2.0881 2.0881 8.8248
Te Bi Hg
2 1 2
Direct
0.5930 0.5930 0.8140
0.4070 0.4070 0.1860
0.0000 0.0000 0.0000
0.2500 0.7500 0.5000
0.7500 0.2500 0.5000



CoTcBr2 | the Alexandria database | GGA-PBE | relaxed; M_tot = 1.201 μB/atom; ΔE_f (raw) = 0.912 eV per atom
1.0
5.8171 -0.0184 -0.0467
-3.1039 4.4866 0.0467
-0.3907 1.2239 3.0994
Co Tc Br
1 1 2
Direct
0.0000 0.5000 0.5000
0.5000 0.5000 0.0000
0.0000 0.0000 0.0000
0.5000 0.0000 0.5000



Ca3Zn7Au4 | the Alexandria database | GGA-PBE | relaxed; M_tot = 0.000 μB/atom; formation energy = -0.473 eV/atom
1.0
4.3637 0.0000 1.1009
1.5910 7.5911 2.8924
0.1944 0.2633 8.4285
Au Zn Ca
4 7 3
Direct
0.8747 0.9085 0.3420
0.3421 0.5236 0.7922
0.1253 0.0915 0.6580
0.6579 0.4764 0.2078
0.4998 0.1792 0.8212
0.3317 0.8187 0.5179
0.8634 0.3508 0.9225
0.0000 0.0000 0.0000
0.1366 0.6492 0.0775
0.6683 0.1813 0.4821
0.5002 0.8208 0.1788
0.7046 0.7972 0.7936
0.0000 0.5000 0.5000
0.2954 0.2028 0.2064



ZnSi2Se | the Alexandria database | GGA-PBE | relaxed; M_tot = 0.000 μB/atom; ΔE_f (raw) = 0.341 eV per atom
1.0
-1.2926 7.7086 5.5149
-4.0599 7.6993 3.9681
-3.6854 5.9093 6.5579
Si Zn Se
2 1 1
Direct
0.9714 0.9714 0.9714
0.2434 0.2434 0.2434
0.5076 0.5076 0.5076
0.7776 0.7776 0.7776



Ac2SiNi | the Alexandria database | GGA-PBE | relaxed; M_tot = 0.000 μB/atom; ΔE_f (raw) = -0.447 eV per atom
1.0
4.2938 0.0000 0.0000
0.0000 5.8963 -2.2524
0.0000 -0.0016 8.7852
Si Ac Ni
2 4 2
Direct
0.2500 0.3555 0.7097
0.7500 0.6445 0.2903
0.2500 0.7857 0.5909
0.2500 0.7671 0.0462
0.7500 0.2329 0.9538
0.7500 0.2143 0.4091
0.7500 0.5315 0.7579
0.2500 0.4685 0.2421



ZnCd2Ru | the Alexandria database | GGA-PBE | relaxed; M_tot = 0.000 μB/atom; formation energy = 0.148 eV/atom
1.0
-1.7334 0.4668 -2.6852
-2.5794 -1.2870 1.4414
-1.8222 6.1706 2.2489
Cd Zn Ru
2 1 1
Direct
0.0000 0.0000 0.9730
0.5000 0.5000 0.2805
0.5000 0.5000 0.7088
0.0000 0.0000 0.5377



La2TbZn2In2 | the Alexandria database | GGA-PBE | relaxed; M_tot = 0.000 μB/atom; formation energy = -0.322 eV/atom
1.0
-4.4230 -0.4357 -1.6545
-0.7381 -1.6068 -4.4004
-2.0782 -9.4883 1.2577
Tb Zn La In
1 2 2 2
Direct
0.0000 0.0000 0.0000
0.6085 0.6085 0.1744
0.3915 0.3915 0.8256
0.1297 0.1297 0.6110
0.8703 0.8703 0.3890
0.7313 0.7313 0.8061
0.2687 0.2687 0.1939



KMoCl6 | the Alexandria database | GGA-PBE | relaxed; M_tot = 0.125 μB/atom; ΔE_f (raw) = -1.079 eV per atom
1.0
6.8295 0.0000 0.0000
3.4147 5.9145 0.0000
3.4147 1.9715 6.2464
K Cl Mo
1 6 1
Direct
0.5000 0.5000 0.5000
0.0893 0.0893 0.2175
0.3962 0.9107 0.7825
0.9107 0.9107 0.7825
0.6038 0.0893 0.2175
0.0893 0.6038 0.2175
0.9107 0.3962 0.7825
0.0000 0.0000 0.0000



Y2AsPb | the Alexandria database | GGA-PBE | relaxed; M_tot = 0.000 μB/atom; formation energy = -0.786 eV/atom
1.0
3.5913 0.0000 0.0000
0.0000 3.5913 0.0000
0.0000 0.0000 7.9933
Y As Pb
2 1 1
Direct
0.0000 0.0000 0.4635
0.0000 0.0000 0.0365
0.5000 0.5000 0.2500
0.5000 0.5000 0.7500



LaOs2 | the Alexandria database | GGA-PBE | relaxed; M_tot = 0.000 μB/atom; formation energy = 0.024 eV/atom
1.0
-2.0454 -1.1884 3.5010
3.7693 -1.6751 -0.9161
2.0553 3.3467 2.3368
Os La
2 1
Direct
0.3333 0.6667 0.4997
0.6667 0.3333 0.5003
0.0000 0.0000 0.0000



RbZrNbCl2 | the Alexandria database | GGA-PBE | relaxed; M_tot = 0.596 μB/atom; ΔE_f (raw) = -0.051 eV per atom
1.0
5.3647 0.0000 0.0000
0.0000 5.2451 0.0000
0.0000 0.0000 5.3647
Cl Rb Nb Zr
2 1 1 1
Direct
0.5000 0.0000 0.0000
0.0000 0.0000 0.5000
0.5000 0.5000 0.5000
0.0000 0.5000 0.0000
0.0000 0.0000 0.0000



La5YIn4 | the Alexandria database | GGA-PBE | relaxed; M_tot = 0.000 μB/atom; formation energy = -0.384 eV/atom
1.0
-1.4277 -3.6110 0.1931
1.8176 -0.5371 3.3945
-17.0116 7.2744 10.2599
In Y La
4 1 5
Direct
0.0000 0.0000 0.2081
0.0000 0.0000 0.5971
0.0000 0.0000 0.4029
0.0000 0.0000 0.7919
0.0000 0.0000 0.0000
0.5000 0.5000 0.5000
0.5000 0.5000 0.8856
0.5000 0.5000 0.3059
0.5000 0.5000 0.1144
0.5000 0.5000 0.6941



Zr3InF | the Alexandria database | GGA-PBE | relaxed; M_tot = 0.000 μB/atom; ΔE_f (raw) = -0.668 eV per atom
1.0
-3.6833 2.7186 -0.3564
-2.0115 -2.2735 3.4452
1.8634 2.9197 3.0146
Zr In F
3 1 1
Direct
0.0000 0.5000 0.0000
0.5000 0.0000 0.0000
0.0000 0.0000 0.5000
0.5000 0.5000 0.5000
0.0000 0.0000 0.0000



Y2TlP | the Alexandria database | GGA-PBE | relaxed; M_tot = 0.000 μB/atom; formation energy = -0.514 eV/atom
1.0
-2.4289 2.4289 4.0839
2.4289 -2.4289 4.0839
2.4289 2.4289 -4.0839
Tl Y P
1 2 1
Direct
0.0000 0.0000 0.0000
0.7500 0.2500 0.5000
0.2500 0.7500 0.5000
0.5000 0.5000 0.0000



YSiCl2 | the Alexandria database | GGA-PBE | relaxed; M_tot = 0.000 μB/atom; ΔE_f (raw) = -0.756 eV per atom
1.0
3.2435 0.0000 0.0000
0.0000 3.2419 0.0000
0.0000 0.0000 11.5012
Cl Y Si
2 1 1
Direct
0.0000 0.0000 0.6095
0.0000 0.0000 0.8905
0.5000 0.5000 0.7500
0.5000 0.5000 0.2500



NaTc2Ir2 | the Alexandria database | GGA-PBE | relaxed; M_tot = 0.000 μB/atom; formation energy = 0.142 eV/atom
1.0
-6.5368 3.2552 -2.6496
-2.5293 -6.9686 -2.3214
-1.1674 -0.3801 2.4131
Ir Tc Na
4 4 2
Direct
0.8773 0.6227 0.0000
0.6227 0.1227 0.0000
0.3773 0.8773 0.0000
0.1227 0.3773 0.0000
0.8313 0.3313 0.5000
0.1687 0.6687 0.5000
0.3313 0.1687 0.5000
0.6687 0.8313 0.5000
0.0000 0.0000 0.0000
0.5000 0.5000 0.0000



SrLuCuPd | the Alexandria database | GGA-PBE | relaxed; M_tot = 0.000 μB/atom; formation energy = -0.329 eV/atom
1.0
5.0511 0.0000 0.0000
2.5255 4.3744 0.0000
2.5255 1.4581 4.1242
Sr Pd Lu Cu
1 1 1 1
Direct
0.5000 0.5000 0.5000
0.7500 0.7500 0.7500
0.0000 0.0000 0.0000
0.2500 0.2500 0.2500



PaCF | the Alexandria database | GGA-PBE | relaxed; M_tot = 0.074 μB/atom; ΔE_f (raw) = -1.804 eV per atom
1.0
3.6065 0.0000 0.0000
-1.8033 3.5687 0.2484
0.0000 0.4726 6.7876
C Pa F
2 2 2
Direct
0.4254 0.8509 0.9401
0.5746 0.1491 0.0599
0.8450 0.6901 0.1998
0.1550 0.3099 0.8002
0.8283 0.6565 0.6062
0.1717 0.3435 0.3938



KPdCl | the Alexandria database | GGA-PBE | relaxed; M_tot = 0.000 μB/atom; ΔE_f (raw) = -0.367 eV per atom
1.0
5.1219 0.0000 0.0000
0.0000 5.1219 0.0000
0.0000 0.0000 6.1935
Cl Pd K
2 2 2
Direct
0.5000 0.5000 0.5000
0.0000 0.0000 0.5000
0.5000 0.0000 0.3438
0.0000 0.5000 0.6562
0.5000 0.0000 0.8285
0.0000 0.5000 0.1715



SmTh4Sn4 | the Alexandria database | GGA-PBE | relaxed; M_tot = 0.000 μB/atom; formation energy = -0.311 eV/atom
1.0
-0.4970 1.4690 6.1482
7.0701 -6.6178 2.1527
6.9155 7.0241 -1.1193
Th Sn Sm
8 8 2
Direct
0.9997 0.7922 0.4000
0.4997 0.9000 0.7078
0.4997 0.1000 0.2922
0.0003 0.4000 0.2078
0.5003 0.7078 0.1000
0.0003 0.6000 0.7922
0.9997 0.2078 0.6000
0.5003 0.2922 0.9000
0.0003 0.6997 0.0940
0.9997 0.0940 0.3003
0.5003 0.4060 0.1997
0.4997 0.1997 0.5940
0.9997 0.9060 0.6997
0.4997 0.8003 0.4060
0.0003 0.3003 0.9060
0.5003 0.5940 0.8003
0.5000 0.5000 0.5000
0.0000 0.0000 0.0000



CsHg2BSe4 | the Alexandria database | GGA-PBE | relaxed; M_tot = 0.000 μB/atom; ΔE_f (raw) = -0.406 eV per atom
1.0
6.4771 0.0000 0.0000
3.2386 6.1861 -0.6823
3.2386 0.0069 6.2236
Se Hg B Cs
4 2 1 1
Direct
0.0120 0.7869 0.5322
0.3311 0.2131 0.4678
0.6689 0.5322 0.7869
0.9880 0.4678 0.2131
0.5000 0.3300 0.6700
0.5000 0.6700 0.3300
0.0000 0.5000 0.5000
0.0000 0.0000 0.0000



Te2PbCl | the Alexandria database | GGA-PBE | relaxed; M_tot = 0.000 μB/atom; ΔE_f (raw) = -0.369 eV per atom
1.0
5.9554 0.0000 0.0000
0.0000 5.8850 0.2876
0.0000 2.0901 4.5896
Pb Cl Te
1 1 2
Direct
0.5000 0.7500 0.7500
0.5000 0.2500 0.2500
0.0000 0.6152 0.5680
0.0000 0.8848 0.9320



CaMg12Ga6 | the Alexandria database | GGA-PBE | relaxed; M_tot = 0.000 μB/atom; formation energy = -0.055 eV/atom
1.0
7.9359 -0.0480 -0.0675
-2.0136 7.6763 -0.0675
-2.0136 -2.5938 7.2251
Mg Ga Ca
12 6 1
Direct
0.1186 0.8814 0.5000
0.4271 0.1649 0.4271
0.5000 0.1186 0.8814
0.4271 0.4271 0.1649
0.5000 0.8814 0.1186
0.8814 0.1186 0.5000
0.1186 0.5000 0.8814
0.5729 0.5729 0.8351
0.1649 0.4271 0.4271
0.8814 0.5000 0.1186
0.5729 0.8351 0.5729
0.8351 0.5729 0.5729
0.7472 0.7472 0.2842
0.7472 0.2842 0.7472
0.7158 0.2528 0.2528
0.2842 0.7472 0.7472
0.2528 0.2528 0.7158
0.2528 0.7158 0.2528
0.0000 0.0000 0.0000



LiMnAs | the Alexandria database | GGA-PBE | relaxed; M_tot = 1.137 μB/atom; formation energy = -0.113 eV/atom
1.0
-0.1679 3.9768 2.1423
-2.2166 1.6660 3.5709
1.9250 0.0246 2.8056
Li As Mn
1 1 1
Direct
0.3306 0.3306 0.6694
0.0102 0.0102 0.9898
0.6592 0.6592 0.3408



LiZn4Ag5 | the Alexandria database | GGA-PBE | relaxed; M_tot = 0.000 μB/atom; formation energy = -0.091 eV/atom
1.0
3.9335 0.0001 -1.3485
-0.7813 4.9512 -2.2791
0.7002 -0.7359 8.4531
Zn Ag Li
4 5 1
Direct
0.1004 0.8727 0.2008
0.8996 0.1273 0.7992
0.6983 0.2827 0.3965
0.3017 0.7173 0.6035
0.5000 0.5000 0.0000
0.7013 0.7872 0.4026
0.9021 0.6408 0.8041
0.2987 0.2128 0.5974
0.0979 0.3592 0.1959
0.5000 0.0000 0.0000